Entry 1:
ZnHPb2 | PBE | optimized geometry

As for the total moment: 0.00 μB/cell. Its raw total energy is -2.60 eV/atom.

Cell: 5.429 5.429 13.700 Å, 90.00 90.00 90.00°
Space group I-42d (No. 122)
Symmetry-distinct sites (fractional):
Zn: 0.000 0.000 0.000
H: 0.000 0.000 0.500
Pb: 0.160 0.250 0.625

Entry 2:
Cs3Ca2CdCl9 | PBE | optimized geometry

As for the total moment: 0.00 μB/cell. As for the uncorrected formation energy: -2014 meV per atom.

Cell: 7.6629 7.6629 9.3914 Å, 90.00 90.00 120.00°
Space group P-3m1 (No. 164)
Symmetry-distinct sites (fractional):
Cs: 0.0000 0.0000 0.0000
Cs: 0.3333 0.6667 0.6646
Ca: 0.3333 0.6667 0.1691
Cd: 0.0000 0.0000 0.5000
Cl: 0.0000 0.5000 0.0000
Cl: 0.1642 0.3284 0.3365

Entry 3:
LiTlSbPt | PBE | optimized geometry

As for the total moment: 0.00 μB/cell. As for the uncorrected formation energy: -225 meV per atom.

Cell: 6.846 6.846 6.846 Å, 90.00 90.00 90.00°
Space group F-43m (No. 216)
Symmetry-distinct sites (fractional):
Li: 0.000 0.000 0.000
Tl: 0.250 0.250 0.250
Sb: 0.250 0.250 0.750
Pt: 0.000 0.000 0.500

Entry 4:
TbNd3Dy5 | PBE | optimized geometry

As for the total moment: 0.00 μB/cell. For the formation energy, the calculation gives 0.516 eV/atom.

Cell: 15.357 11.396 9.991 Å, 90.00 130.38 90.00°
Space group C2/m (No. 12)
Symmetry-distinct sites (fractional):
Tb: 0.247 0.000 0.401
Nd: 0.000 0.000 0.000
Nd: 0.000 0.500 0.500
Nd: 0.008 0.500 0.810
Nd: 0.022 0.000 0.361
Dy: 0.000 0.257 0.000
Dy: 0.157 0.250 0.750
Dy: 0.219 0.500 0.225
Dy: 0.223 0.000 0.039

Question: What is the total moment in the third record?
Answer: 0.00 μB/cell